# 1
DFT (PBE-GGA) results for a relaxed NbCuOsPd crystal.

Lattice parameters (Å, degrees): 6.2334 6.2334 6.2334 90.00 90.00 90.00
Last column: nearest neighbours and their distance in Å.
Element x y z (fractional)
Nb  0.0000  0.0000  0.0000  4 Pd 2.70, 4 Os 2.70
Nb  0.0000  0.5000  0.5000  4 Pd 2.70, 4 Os 2.70
Nb  0.5000  0.0000  0.5000  4 Pd 2.70, 4 Os 2.70
Nb  0.5000  0.5000  0.0000  4 Pd 2.70, 4 Os 2.70
Cu  0.0000  0.0000  0.5000  4 Os 2.70, 4 Pd 2.70
Cu  0.0000  0.5000  0.0000  4 Os 2.70, 4 Pd 2.70
Cu  0.5000  0.0000  0.0000  4 Os 2.70, 4 Pd 2.70
Cu  0.5000  0.5000  0.5000  4 Os 2.70, 4 Pd 2.70
Os  0.2500  0.2500  0.7500  4 Nb 2.70, 4 Cu 2.70
Os  0.2500  0.7500  0.2500  4 Nb 2.70, 4 Cu 2.70
Os  0.7500  0.2500  0.2500  4 Nb 2.70, 4 Cu 2.70
Os  0.7500  0.7500  0.7500  4 Nb 2.70, 4 Cu 2.70
Pd  0.2500  0.2500  0.2500  4 Cu 2.70, 4 Nb 2.70
Pd  0.2500  0.7500  0.7500  4 Nb 2.70, 4 Cu 2.70
Pd  0.7500  0.2500  0.7500  4 Nb 2.70, 4 Cu 2.70
Pd  0.7500  0.7500  0.2500  4 Nb 2.70, 4 Cu 2.70

Computed properties:
The energy relative to the elements comes out at -0.029 eV/atom. As for the space group: No. 216.

# 2
DFT (PBE-GGA) results for a relaxed NbCuOsSe2 crystal.

Lattice parameters (Å, degrees): 4.4965 4.4965 4.7309 90.00 90.00 90.00
Last column: nearest neighbours and their distance in Å.
Element x y z (fractional)
Nb  0.0000  0.0000  0.0000  2 Cu 2.37
Cu  0.0000  0.0000  0.5000  4 Se 2.25, 2 Nb 2.37
Os  0.5000  0.5000  0.0000  4 Nb 3.18, 8 Se 3.26
Se  0.0000  0.5000  0.5000  2 Cu 2.25
Se  0.5000  0.0000  0.5000  2 Cu 2.25

Computed properties:
As for the space group: No. 123. The formation energy from raw total energies comes out at 1418 meV/atom.

# 3
DFT (PBE-GGA) results for a relaxed NbCuOsSe2 crystal.

Lattice parameters (Å, degrees): 4.9709 4.9709 4.9641 90.00 90.00 90.00
Last column: nearest neighbours and their distance in Å.
Element x y z (fractional)
Nb  0.0000  0.0000  0.0000  2 Os 2.48, 4 Se 2.49
Cu  0.5000  0.5000  0.5000  8 Se 3.51, 4 Os 3.51
Os  0.0000  0.0000  0.5000  2 Nb 2.48
Se  0.0000  0.5000  0.0000  2 Nb 2.49
Se  0.5000  0.0000  0.0000  2 Nb 2.49

Computed properties:
As for the space group: No. 123. The formation energy from raw total energies comes out at 1122 meV/atom.

# 4
DFT (PBE-GGA) results for a relaxed NbCuSnOs crystal.

Lattice parameters (Å, degrees): 4.0816 4.0816 7.8570 90.00 90.00 90.00
Last column: nearest neighbours and their distance in Å.
Element x y z (fractional)
Nb  0.0000  0.0000  0.0000  4 Sn 2.83, 4 Os 2.83, 4 Cu 2.89
Nb  0.5000  0.5000  0.5000  4 Sn 2.83, 4 Os 2.83, 4 Cu 2.89
Cu  0.0000  0.0000  0.5000  4 Sn 2.83, 4 Os 2.83, 4 Nb 2.89
Cu  0.5000  0.5000  0.0000  4 Sn 2.83, 4 Os 2.83, 4 Nb 2.89
Sn  0.0000  0.5000  0.7500  4 Nb 2.83, 4 Cu 2.83, 4 Os 2.89
Sn  0.5000  0.0000  0.2500  4 Nb 2.83, 4 Cu 2.83, 4 Os 2.89
Os  0.0000  0.5000  0.2500  4 Nb 2.83, 4 Cu 2.83, 4 Sn 2.89
Os  0.5000  0.0000  0.7500  4 Nb 2.83, 4 Cu 2.83, 4 Sn 2.89

Computed properties:
The energy relative to the elements comes out at 0.112 eV/atom. As for the space group: No. 119.

# 5
DFT (PBE-GGA) results for a relaxed NbCuSnOs crystal.

Lattice parameters (Å, degrees): 4.3227 3.0926 10.0906 90.00 90.00 90.00
Last column: nearest neighbours and their distance in Å.
Element x y z (fractional)
Nb  0.0000  0.0000  0.0000  3 Cu 2.69-2.82, 4 Os 2.77
Nb  0.0000  0.5000  0.5000  3 Cu 2.69-2.82, 4 Os 2.77
Cu  0.0000  0.0000  0.7336  2 Os 2.67, 3 Nb 2.69-2.82, 4 Sn 2.77
Cu  0.0000  0.5000  0.2336  2 Os 2.67, 3 Nb 2.69-2.82, 4 Sn 2.77
Sn  0.5000  0.0000  0.3094  3 Os 2.71-2.80, 4 Cu 2.77
Sn  0.5000  0.5000  0.8094  3 Os 2.71-2.80, 4 Cu 2.77
Os  0.5000  0.0000  0.5781  2 Cu 2.67, 3 Sn 2.71-2.80, 4 Nb 2.77
Os  0.5000  0.5000  0.0781  2 Cu 2.67, 3 Sn 2.71-2.80, 4 Nb 2.77

Computed properties:
The energy relative to the elements comes out at 0.129 eV/atom. As for the space group: No. 38.

# 6
DFT (PBE-GGA) results for a relaxed NbCuSnOs crystal.

Lattice parameters (Å, degrees): 3.1793 3.6089 5.9047 90.00 90.00 90.00
Last column: nearest neighbours and their distance in Å.
Element x y z (fractional)
Nb  0.0000  0.0000  0.0000  4 Os 2.69, 4 Cu 2.83, 2 Sn 2.93-2.97
Cu  0.5000  0.5000  0.2541  1 Os 2.72, 4 Sn 2.80, 4 Nb 2.83
Sn  0.0000  0.0000  0.4964  4 Cu 2.80, 2 Nb 2.93-2.97, 4 Os 2.98
Os  0.5000  0.5000  0.7941  4 Nb 2.69, 1 Cu 2.72, 4 Sn 2.98

Computed properties:
The energy relative to the elements comes out at 0.067 eV/atom. As for the space group: No. 25.